Density functional theory data (PBE) for crystalline VCrCd3 at its relaxed geometry.

Cell lengths 5.233, 5.233, 5.233 Å; angles 90.00, 90.00, 90.00 degrees
Site moments in Bohr magnetons follow the coordinates.
Atoms (fractional coordinates):
Cd 0.000 0.000 0.500  0.06
Cd 0.000 0.500 0.000  0.06
Cd 0.500 0.000 0.000  0.06
V 0.000 0.000 0.000  2.74
Cr 0.500 0.500 0.500  4.22

## Properties
DFT formation energy   1.160 eV per atom
Total magnetic moment   8.45 Bohr magnetons per cell
Polymorph energy (0 for the lowest one)   0.0112 eV/atom

Density functional theory data (PBE) for crystalline SbPdCl2F at its relaxed geometry.

Cell lengths 5.258, 4.081, 5.258 Å; angles 90.00, 90.00, 90.00 degrees
Atoms (fractional coordinates):
Pd 0.500 0.500 0.500
Cl 0.000 0.000 0.500
Cl 0.500 0.000 0.000
F 0.000 0.000 0.000
Sb 0.000 0.500 0.000

## Properties
Total magnetic moment   0.00 Bohr magnetons per cell
Uncorrected formation energy   -0.09 eV per atom